VASP calculation (meta-GGA SCAN) on a crystal of CaCdS2 relaxed with PBEsol.

* E_form (uncorrected): -1.5364 eV per atom
* magnetization: 0.0 μB per formula unit
* mass density: 4.279 g/cm³

CIF file:
```
data_CaCdS2
_chemical_formula_sum 'Ca1 Cd1 S2'
_cell_length_a 3.938
_cell_length_b 3.938
_cell_length_c 6.659
_cell_angle_alpha 72.80
_cell_angle_beta 72.80
_cell_angle_gamma 60.00
_symmetry_space_group_name_H-M 'P 1'
_symmetry_Int_Tables_number 1
loop_
_symmetry_equiv_pos_as_xyz
'x,y,z'
loop_
_atom_site_label
_atom_site_type_symbol
_atom_site_fract_x
_atom_site_fract_y
_atom_site_fract_z
Ca1 Ca 0.000 0.000 0.000
S1 S 0.246 0.246 0.261
S2 S 0.754 0.754 0.739
Cd1 Cd 0.500 0.500 0.500
```